Density functional theory data (PBE) for an optimized crystal structure of MoIBrN2.

Computed properties:
Spin magnetization ... 0.011 μB per atom
Formation energy without anion corrections ... 0.7573 eV/atom
Calculated total energy ... -26.919 eV/cell
Space-group type ... No. 123

a b c (Å): 4.023 4.023 5.884
angles (deg): 90.00 90.00 90.00
Fractional positions:
Mo: 0.000 0.000 0.000
I: 0.000 0.000 0.500
Br: 0.500 0.500 0.500
N: 0.000 0.500 0.000
N: 0.500 0.000 0.000